# 1
Compound: Tb4Er5Zn
Source: Alexandria via LeMat-Bulk
Functional: PBE-GGA
Structure: optimized geometry

Geometry as POSCAR:
```
Tb4Er5Zn
1.0
3.5279 0.0000 0.0000
0.0000 3.5279 0.0000
0.0000 0.0000 23.6716
Tb Er Zn
4 5 1
Direct
0.0000 0.0000 0.1056
0.0000 0.0000 0.3174
0.0000 0.0000 0.6826
0.0000 0.0000 0.8944
0.5000 0.5000 0.0000
0.5000 0.5000 0.2121
0.5000 0.5000 0.4256
0.5000 0.5000 0.5744
0.5000 0.5000 0.7879
0.0000 0.0000 0.5000
```

Summary:
Symmetry: P4/mmm, No. 123
Fermi-level density of states, states/eV per cell: 12.20
VASP energy, eV/atom: -4.315
ΔH_f (0 K), eV per atom: -0.054
Crystal system: tetragonal

---

# 2
Compound: TbEr4Zn
Source: Alexandria via LeMat-Bulk
Functional: PBE-GGA
Structure: optimized geometry

Geometry as POSCAR:
```
TbEr4Zn
1.0
3.5438 0.0000 0.0000
0.0000 4.8830 0.0000
-1.4324 0.0000 9.8086
Tb Er Zn
1 4 1
Direct
0.0000 0.0000 0.0000
0.1410 0.0000 0.3535
0.4257 0.5000 0.8158
0.5742 0.5000 0.1847
0.8586 0.0000 0.6462
0.4953 0.5000 0.5005
```

Summary:
Symmetry: Pm, No. 6
Fermi-level density of states, states/eV per cell: 6.94
VASP energy, eV/atom: -4.039
ΔH_f (0 K), eV per atom: -0.013
Crystal system: monoclinic

---

# 3
Compound: TbEr4Zn4
Source: Alexandria via LeMat-Bulk
Functional: PBE-GGA
Structure: optimized geometry

Geometry as POSCAR:
```
TbEr4Zn4
1.0
8.9879 0.0000 0.0000
0.0000 8.9879 0.0000
0.0000 0.0000 5.8495
Tb Er Zn
2 8 8
Direct
0.2500 0.2500 0.2500
0.7500 0.7500 0.7500
0.0694 0.6600 0.1387
0.1600 0.9306 0.6387
0.3400 0.5694 0.6387
0.4306 0.8400 0.1387
0.5694 0.1600 0.8613
0.6600 0.4306 0.3613
0.8400 0.0694 0.3613
0.9306 0.3400 0.8613
0.0230 0.6148 0.6279
0.1148 0.9770 0.1279
0.3852 0.5230 0.1279
0.4770 0.8852 0.6279
0.5230 0.1148 0.3721
0.6148 0.4770 0.8721
0.8852 0.0230 0.8721
0.9770 0.3852 0.3721
```

Summary:
Symmetry: P4_2/n, No. 86
Fermi-level density of states, states/eV per cell: 25.23
VASP energy, eV/atom: -3.171
ΔH_f (0 K), eV per atom: -0.063
Crystal system: tetragonal

---

# 4
Compound: TbEr3Zn2
Source: Alexandria via LeMat-Bulk
Functional: PBE-GGA
Structure: optimized geometry

Geometry as POSCAR:
```
TbEr3Zn2
1.0
3.5372 0.0000 0.0000
0.0000 3.5372 0.0000
0.0000 0.0000 12.0979
Tb Er Zn
1 3 2
Direct
0.0000 0.0000 0.0000
0.5000 0.5000 0.2099
0.5000 0.5000 0.5000
0.5000 0.5000 0.7901
0.0000 0.0000 0.3557
0.0000 0.0000 0.6443
```

Summary:
Symmetry: P4/mmm, No. 123
Fermi-level density of states, states/eV per cell: 6.15
VASP energy, eV/atom: -3.706
ΔH_f (0 K), eV per atom: -0.228
Crystal system: tetragonal

---

# 5
Compound: TbErZn
Source: Alexandria via LeMat-Bulk
Functional: PBE-GGA
Structure: optimized geometry

Geometry as POSCAR:
```
TbErZn
1.0
0.0000 3.4875 3.4875
3.4875 0.0000 3.4875
3.4875 3.4875 0.0000
Tb Er Zn
1 1 1
Direct
0.0000 0.0000 0.0000
0.5000 0.5000 0.5000
0.7500 0.7500 0.7500
```

Summary:
Symmetry: F-43m, No. 216
Fermi-level density of states, states/eV per cell: 4.07
VASP energy, eV/atom: -3.467
ΔH_f (0 K), eV per atom: 0.022
Crystal system: cubic

---

# 6
Compound: Tb4ErZn
Source: Alexandria via LeMat-Bulk
Functional: PBE-GGA
Structure: optimized geometry

Geometry as POSCAR:
```
Tb4ErZn
1.0
3.5569 0.0000 0.0000
0.0000 3.5569 0.0000
0.0000 0.0000 13.6697
Tb Er Zn
4 1 1
Direct
0.0000 0.0000 0.1311
0.0000 0.0000 0.8689
0.5000 0.5000 0.3181
0.5000 0.5000 0.6819
0.0000 0.0000 0.5000
0.5000 0.5000 0.0000
```

Summary:
Symmetry: P4/mmm, No. 123
Fermi-level density of states, states/eV per cell: 7.30
VASP energy, eV/atom: -4.160
ΔH_f (0 K), eV per atom: -0.100
Crystal system: tetragonal

---

# 7
Compound: TbEr5Zn4
Source: Alexandria via LeMat-Bulk
Functional: PBE-GGA
Structure: optimized geometry

Geometry as POSCAR:
```
TbEr5Zn4
1.0
3.5341 0.0000 0.0000
0.0000 3.5341 0.0000
0.0000 0.0000 19.2298
Tb Er Zn
1 5 4
Direct
0.0000 0.0000 0.0000
0.5000 0.5000 0.1324
0.5000 0.5000 0.3164
0.5000 0.5000 0.5000
0.5000 0.5000 0.6836
0.5000 0.5000 0.8676
0.0000 0.0000 0.2243
0.0000 0.0000 0.4070
0.0000 0.0000 0.5930
0.0000 0.0000 0.7757
```

Summary:
Symmetry: P4/mmm, No. 123
Fermi-level density of states, states/eV per cell: 11.35
VASP energy, eV/atom: -3.528
ΔH_f (0 K), eV per atom: -0.274
Crystal system: tetragonal

---

# 8
Compound: Tb2Er2Zn
Source: Alexandria via LeMat-Bulk
Functional: PBE-GGA
Structure: optimized geometry

Geometry as POSCAR:
```
Tb2Er2Zn
1.0
-1.7664 1.7664 11.1359
1.7664 -1.7664 11.1359
1.7664 1.7664 -11.1359
Tb Er Zn
2 2 1
Direct
0.1938 0.1938 0.0000
0.8062 0.8062 0.0000
0.4212 0.4212 0.0000
0.5788 0.5788 0.0000
0.0000 0.0000 0.0000
```

Summary:
Symmetry: I4/mmm, No. 139
Fermi-level density of states, states/eV per cell: 6.02
VASP energy, eV/atom: -4.059
ΔH_f (0 K), eV per atom: -0.127
Crystal system: tetragonal